An optimized crystal structure of GdErGePd, computed with GGA-PBE.

* crystal system: cubic
* space group: F-43m, No. 216
* formation energy from the elements: -805.2 meV/atom
* M_tot: 7.2 μB per formula unit

Cell lengths 7.0875, 7.0875, 7.0875 Å; angles 90.00, 90.00, 90.00 degrees
Fractional coordinates of all 16 atoms:
Gd 0.0000 0.0000 0.0000
Gd 0.0000 0.5000 0.5000
Gd 0.5000 0.0000 0.5000
Gd 0.5000 0.5000 0.0000
Er 0.0000 0.0000 0.5000
Er 0.0000 0.5000 0.0000
Er 0.5000 0.0000 0.0000
Er 0.5000 0.5000 0.5000
Ge 0.2500 0.2500 0.7500
Ge 0.2500 0.7500 0.2500
Ge 0.7500 0.2500 0.2500
Ge 0.7500 0.7500 0.7500
Pd 0.2500 0.2500 0.2500
Pd 0.2500 0.7500 0.7500
Pd 0.7500 0.2500 0.7500
Pd 0.7500 0.7500 0.2500

---

An optimized crystal structure of Ba2HfRu, computed with GGA-PBE.

* crystal system: cubic
* offset from the most stable computed form: 584 meV/atom
* space group: Fm-3m, No. 225
* formation energy from the elements: 1108.4 meV/atom
* M_tot: 0.0 μB per formula unit

Cell lengths 7.7838, 7.7838, 7.7838 Å; angles 90.00, 90.00, 90.00 degrees
Fractional coordinates of all 16 atoms:
Ba 0.2500 0.2500 0.2500
Ba 0.2500 0.2500 0.7500
Ba 0.2500 0.7500 0.2500
Ba 0.2500 0.7500 0.7500
Ba 0.7500 0.2500 0.2500
Ba 0.7500 0.2500 0.7500
Ba 0.7500 0.7500 0.2500
Ba 0.7500 0.7500 0.7500
Hf 0.0000 0.0000 0.0000
Hf 0.0000 0.5000 0.5000
Hf 0.5000 0.0000 0.5000
Hf 0.5000 0.5000 0.0000
Ru 0.0000 0.0000 0.5000
Ru 0.0000 0.5000 0.0000
Ru 0.5000 0.0000 0.0000
Ru 0.5000 0.5000 0.5000

---

An optimized crystal structure of NbGaCo2Si, computed with GGA-PBE.

* raw formation energy: 1.39 eV/atom
* crystal system: tetragonal
* space group: P4/mmm, No. 123
* M_tot: 1.1 μB per formula unit

Cell lengths 4.4681, 4.4681, 5.0163 Å; angles 90.00, 90.00, 90.00 degrees
Fractional coordinates of all 5 atoms:
Nb 0.0000 0.0000 0.0000
Ga 0.0000 0.0000 0.5000
Co 0.0000 0.5000 0.0000
Co 0.5000 0.0000 0.0000
Si 0.5000 0.5000 0.5000

---

- Look up the M_tot of the second one.
  0.0 μB per formula unit

---

- The highest M_tot belongs to which entry?
  GdErGePd

---

Copy entry 2 word for word.
An optimized crystal structure of Ba2HfRu, computed with GGA-PBE.

* crystal system: cubic
* offset from the most stable computed form: 584 meV/atom
* space group: Fm-3m, No. 225
* formation energy from the elements: 1108.4 meV/atom
* M_tot: 0.0 μB per formula unit

Cell lengths 7.7838, 7.7838, 7.7838 Å; angles 90.00, 90.00, 90.00 degrees
Fractional coordinates of all 16 atoms:
Ba 0.2500 0.2500 0.2500
Ba 0.2500 0.2500 0.7500
Ba 0.2500 0.7500 0.2500
Ba 0.2500 0.7500 0.7500
Ba 0.7500 0.2500 0.2500
Ba 0.7500 0.2500 0.7500
Ba 0.7500 0.7500 0.2500
Ba 0.7500 0.7500 0.7500
Hf 0.0000 0.0000 0.0000
Hf 0.0000 0.5000 0.5000
Hf 0.5000 0.0000 0.5000
Hf 0.5000 0.5000 0.0000
Ru 0.0000 0.0000 0.5000
Ru 0.0000 0.5000 0.0000
Ru 0.5000 0.0000 0.0000
Ru 0.5000 0.5000 0.5000